Density functional theory data (GGA-PBE) for a relaxed structure of NaLaY4O8.

The total moment is 0.00 μB/f.u. The crystal system is trigonal. The raw formation energy is -3.2003 eV/atom. Its density of states at the Fermi level is 0.00 states/eV/f.u. The space group is No. 160.

```
NaLaY4O8
1.0
3.434 1.983 5.758
-3.434 1.983 5.758
0.000 -3.966 5.758
Na La Y O
1 1 4 8
Cartesian
0.000 0.000 0.000
0.000 0.000 10.789
-1.758 -1.015 7.859
0.000 0.000 4.259
1.758 -1.015 7.859
0.000 2.030 7.859
0.000 -1.913 9.199
-1.657 0.956 9.199
0.000 0.000 6.547
-1.505 -0.869 12.351
1.657 0.956 9.199
0.000 0.000 14.767
1.505 -0.869 12.351
0.000 1.738 12.351
```